[1]
Compound: PmBe2Cu10
Source: the Alexandria database
Functional: PBE
Structure: optimized geometry

Calculated values
Energy of formation from the pure elements in eV per atom: -0.098
Space group: Fmmm, No. 69
Final energy in eV per atom: -4.188
Total magnetic moment in μB per formula unit: 0.000

abc: 8.4141 6.5357 6.2679
angles: 82.14 50.31 47.56
Atoms (fractional coordinates):
Pm 0.0000 0.0000 0.0000
Be 0.0000 0.5000 0.0000
Be 0.5000 0.0000 0.5000
Cu 0.0000 0.0000 0.5000
Cu 0.0070 0.3524 0.6476
Cu 0.2695 0.4884 0.5116
Cu 0.3524 0.0070 0.9930
Cu 0.4884 0.2695 0.7305
Cu 0.5000 0.5000 0.0000
Cu 0.5116 0.7305 0.2695
Cu 0.6476 0.9930 0.0070
Cu 0.7305 0.5116 0.4884
Cu 0.9930 0.6476 0.3524

=====

[2]
Compound: PmBeCu11
Source: the Alexandria database
Functional: PBE
Structure: optimized geometry

Calculated values
Energy of formation from the pure elements in eV per atom: -0.086
Space group: C2/m, No. 12
Final energy in eV per atom: -4.204
Total magnetic moment in μB per formula unit: 0.000

abc: 6.3922 6.3922 6.4498
angles: 97.34 97.34 136.10
Atoms (fractional coordinates):
Pm 0.0000 0.0000 0.0000
Be 0.5000 0.5000 0.5000
Cu 0.0000 0.0000 0.5000
Cu 0.0000 0.5000 0.0000
Cu 0.0053 0.6519 0.6436
Cu 0.2861 0.5076 0.7657
Cu 0.3481 0.9947 0.3564
Cu 0.4924 0.7139 0.2343
Cu 0.5000 0.0000 0.0000
Cu 0.5076 0.2861 0.7657
Cu 0.6519 0.0053 0.6436
Cu 0.7139 0.4924 0.2343
Cu 0.9947 0.3481 0.3564

=====

[3]
Compound: PmBe2Cu3
Source: the Alexandria database
Functional: PBE
Structure: optimized geometry

Calculated values
Energy of formation from the pure elements in eV per atom: -0.159
Space group: Cmcm, No. 63
Final energy in eV per atom: -4.241
Total magnetic moment in μB per formula unit: 0.000
Excess energy over the best structure of this formula in the dataset in eV/atom: 0.000

abc: 6.0630 6.0630 4.7204
angles: 90.00 90.00 78.98
Atoms (fractional coordinates):
Pm 0.1758 0.8242 0.7500
Pm 0.8242 0.1758 0.2500
Be 0.2900 0.2900 0.0000
Be 0.2900 0.2900 0.5000
Be 0.7100 0.7100 0.0000
Be 0.7100 0.7100 0.5000
Cu 0.0324 0.5835 0.2500
Cu 0.4165 0.9676 0.2500
Cu 0.4413 0.5587 0.2500
Cu 0.5587 0.4413 0.7500
Cu 0.5835 0.0324 0.7500
Cu 0.9676 0.4165 0.7500

=====

[4]
Compound: PmBeCu2
Source: the Alexandria database
Functional: PBE
Structure: optimized geometry

Calculated values
Energy of formation from the pure elements in eV per atom: -0.124
Space group: R-3m, No. 166
Final energy in eV per atom: -4.291
Total magnetic moment in μB per formula unit: 0.000

abc: 5.3788 5.3788 5.3788
angles: 44.05 44.05 44.05
Atoms (fractional coordinates):
Pm 0.0000 0.0000 0.0000
Be 0.5000 0.5000 0.5000
Cu 0.1978 0.1978 0.1978
Cu 0.8022 0.8022 0.8022

=====

[5]
Compound: Pm2Be2Cu15
Source: the Alexandria database
Functional: PBE
Structure: optimized geometry

Calculated values
Energy of formation from the pure elements in eV per atom: -0.056
Space group: R-3m, No. 166
Final energy in eV per atom: -4.182
Total magnetic moment in μB per formula unit: 0.000

abc: 6.4717 6.4717 6.4717
angles: 82.48 82.48 82.48
Atoms (fractional coordinates):
Pm 0.1563 0.1563 0.1563
Pm 0.8437 0.8437 0.8437
Be 0.4067 0.4067 0.4067
Be 0.5933 0.5933 0.5933
Cu 0.0000 0.5000 0.5000
Cu 0.1566 0.1566 0.6484
Cu 0.1566 0.6484 0.1566
Cu 0.2116 0.5000 0.7884
Cu 0.2116 0.7884 0.5000
Cu 0.3516 0.8434 0.8434
Cu 0.5000 0.0000 0.5000
Cu 0.5000 0.2116 0.7884
Cu 0.5000 0.5000 0.0000
Cu 0.5000 0.7884 0.2116
Cu 0.6484 0.1566 0.1566
Cu 0.7884 0.2116 0.5000
Cu 0.7884 0.5000 0.2116
Cu 0.8434 0.3516 0.8434
Cu 0.8434 0.8434 0.3516

=====

[6]
Compound: PmPrBeCu
Source: the Alexandria database
Functional: PBE
Structure: optimized geometry

Calculated values
Energy of formation from the pure elements in eV per atom: 0.046
Space group: F-43m, No. 216
Final energy in eV per atom: -4.292
Total magnetic moment in μB per formula unit: 0.000

abc: 5.0544 5.0544 5.0544
angles: 60.00 60.00 60.00
Atoms (fractional coordinates):
Pm 0.0000 0.0000 0.0000
Pr 0.5000 0.5000 0.5000
Be 0.2500 0.2500 0.2500
Cu 0.7500 0.7500 0.7500

=====

[7]
Compound: Pm2Be4CuPt3
Source: the Alexandria database
Functional: PBE
Structure: optimized geometry

Calculated values
Energy of formation from the pure elements in eV per atom: -0.691
Space group: P-4m2, No. 115
Final energy in eV per atom: -5.353
Total magnetic moment in μB per formula unit: 0.000

abc: 4.0570 4.0570 9.5437
angles: 90.00 90.00 90.00
Atoms (fractional coordinates):
Pm 0.0000 0.5000 0.2504
Pm 0.5000 0.0000 0.7496
Be 0.0000 0.0000 0.0000
Be 0.0000 0.5000 0.6208
Be 0.5000 0.0000 0.3792
Be 0.5000 0.5000 0.0000
Cu 0.0000 0.0000 0.5000
Pt 0.0000 0.5000 0.8757
Pt 0.5000 0.0000 0.1243
Pt 0.5000 0.5000 0.5000

=====

[8]
Compound: Pm2Be3Cu12Pt
Source: the Alexandria database
Functional: PBE
Structure: optimized geometry

Calculated values
Energy of formation from the pure elements in eV per atom: 0.311
Space group: R-3m, No. 166
Final energy in eV per atom: -3.904
Total magnetic moment in μB per formula unit: 0.000

abc: 7.3816 7.3816 7.3816
angles: 61.58 61.58 61.58
Atoms (fractional coordinates):
Pm 0.1044 0.1044 0.1044
Pm 0.8956 0.8956 0.8956
Be 0.0000 0.5000 0.5000
Be 0.5000 0.0000 0.5000
Be 0.5000 0.5000 0.0000
Cu 0.1007 0.6260 0.6260
Cu 0.1652 0.1652 0.6040
Cu 0.1652 0.6040 0.1652
Cu 0.3740 0.3740 0.8993
Cu 0.3740 0.8993 0.3740
Cu 0.3960 0.8348 0.8348
Cu 0.6040 0.1652 0.1652
Cu 0.6260 0.1007 0.6260
Cu 0.6260 0.6260 0.1007
Cu 0.8348 0.3960 0.8348
Cu 0.8348 0.8348 0.3960
Cu 0.8993 0.3740 0.3740
Pt 0.5000 0.5000 0.5000

=====

[9]
Compound: PmScBeCu
Source: the Alexandria database
Functional: PBE
Structure: optimized geometry

Calculated values
Energy of formation from the pure elements in eV per atom: -0.018
Space group: F-43m, No. 216
Final energy in eV per atom: -4.745
Total magnetic moment in μB per formula unit: 0.000

abc: 4.7992 4.7992 4.7992
angles: 60.00 60.00 60.00
Atoms (fractional coordinates):
Pm 0.0000 0.0000 0.0000
Sc 0.5000 0.5000 0.5000
Be 0.7500 0.7500 0.7500
Cu 0.2500 0.2500 0.2500

=====

[10]
Compound: Pm2Be3CuSi4
Source: the Alexandria database
Functional: PBE
Structure: optimized geometry

Calculated values
Formation energy without anion corrections in eV per atom: -0.421
Space group: P-4m2, No. 115
Final energy in eV per atom: -5.068
Total magnetic moment in μB per formula unit: 0.000

abc: 3.9883 3.9883 9.7029
angles: 90.00 90.00 90.00
Atoms (fractional coordinates):
Pm 0.0000 0.5000 0.2473
Pm 0.5000 0.0000 0.7527
Be 0.0000 0.5000 0.8715
Be 0.5000 0.0000 0.1285
Be 0.5000 0.5000 0.5000
Cu 0.0000 0.0000 0.5000
Si 0.0000 0.0000 0.0000
Si 0.0000 0.5000 0.6352
Si 0.5000 0.0000 0.3648
Si 0.5000 0.5000 0.0000

=====

[11]
Compound: Pm2BeCu3Si4
Source: the Alexandria database
Functional: PBE
Structure: optimized geometry

Calculated values
Formation energy without anion corrections in eV per atom: -0.511
Space group: P-4m2, No. 115
Final energy in eV per atom: -5.231
Total magnetic moment in μB per formula unit: 0.000

abc: 4.0385 4.0385 9.8980
angles: 90.00 90.00 90.00
Atoms (fractional coordinates):
Pm 0.0000 0.5000 0.2448
Pm 0.5000 0.0000 0.7552
Be 0.5000 0.5000 0.0000
Cu 0.0000 0.0000 0.0000
Cu 0.0000 0.5000 0.6318
Cu 0.5000 0.0000 0.3682
Si 0.0000 0.0000 0.5000
Si 0.0000 0.5000 0.8720
Si 0.5000 0.0000 0.1280
Si 0.5000 0.5000 0.5000

=====

[12]
Compound: PmSmBeCu
Source: the Alexandria database
Functional: PBE
Structure: optimized geometry

Calculated values
Energy of formation from the pure elements in eV per atom: 0.015
Space group: F-43m, No. 216
Final energy in eV per atom: -4.308
Total magnetic moment in μB per formula unit: 0.000

abc: 4.9978 4.9978 4.9978
angles: 60.00 60.00 60.00
Atoms (fractional coordinates):
Pm 0.0000 0.0000 0.0000
Sm 0.5000 0.5000 0.5000
Be 0.2500 0.2500 0.2500
Cu 0.7500 0.7500 0.7500

=====

[13]
Compound: PmBeCuSn
Source: the Alexandria database
Functional: PBE
Structure: optimized geometry

Calculated values
Energy of formation from the pure elements in eV per atom: -0.109
Space group: F-43m, No. 216
Final energy in eV per atom: -4.253
Total magnetic moment in μB per formula unit: 0.000

abc: 4.7244 4.7244 4.7244
angles: 60.00 60.00 60.00
Atoms (fractional coordinates):
Pm 0.0000 0.0000 0.0000
Be 0.2500 0.2500 0.2500
Cu 0.7500 0.7500 0.7500
Sn 0.5000 0.5000 0.5000

=====

[14]
Compound: TbPmBeCu
Source: the Alexandria database
Functional: PBE
Structure: optimized geometry

Calculated values
Energy of formation from the pure elements in eV per atom: -0.012
Space group: F-43m, No. 216
Final energy in eV per atom: -4.313
Total magnetic moment in μB per formula unit: 0.000

abc: 4.9541 4.9541 4.9541
angles: 60.00 60.00 60.00
Atoms (fractional coordinates):
Tb 0.0000 0.0000 0.0000
Pm 0.5000 0.5000 0.5000
Be 0.2500 0.2500 0.2500
Cu 0.7500 0.7500 0.7500

=====

[15]
Compound: PmBeZnCu6
Source: the Alexandria database
Functional: PBE
Structure: optimized geometry

Calculated values
Energy of formation from the pure elements in eV per atom: -0.005
Space group: Imma, No. 74
Final energy in eV per atom: -3.819
Total magnetic moment in μB per formula unit: 0.000

abc: 8.2270 8.2270 8.2270
angles: 143.61 123.88 68.75
Atoms (fractional coordinates):
Pm 0.2515 0.0015 0.2500
Pm 0.7485 0.9985 0.7500
Be 0.5000 0.0000 0.0000
Be 0.5000 0.5000 0.5000
Zn 0.0000 0.5000 0.5000
Zn 0.5000 0.5000 0.0000
Cu 0.0033 0.7533 0.2500
Cu 0.1482 0.4040 0.2340
Cu 0.1482 0.9142 0.7442
Cu 0.3300 0.0858 0.7340
Cu 0.3300 0.5960 0.2442
Cu 0.3650 0.6150 0.7500
Cu 0.6350 0.3850 0.2500
Cu 0.6700 0.4040 0.7558
Cu 0.6700 0.9142 0.2660
Cu 0.8518 0.0858 0.2558
Cu 0.8518 0.5960 0.7660
Cu 0.9967 0.2467 0.7500

=====

[16]
Compound: Pm2BeZn12Cu3
Source: the Alexandria database
Functional: PBE
Structure: optimized geometry

Calculated values
Energy of formation from the pure elements in eV per atom: 0.026
Space group: R-3m, No. 166
Final energy in eV per atom: -2.241
Total magnetic moment in μB per formula unit: 0.000

abc: 11.1895 11.1895 11.1895
angles: 30.35 30.35 30.35
Atoms (fractional coordinates):
Pm 0.1413 0.1413 0.1413
Pm 0.8587 0.8587 0.8587
Be 0.5000 0.5000 0.5000
Zn 0.0953 0.0953 0.6509
Zn 0.0953 0.6509 0.0953
Zn 0.1232 0.6035 0.6035
Zn 0.3491 0.9047 0.9047
Zn 0.3965 0.3965 0.8768
Zn 0.3965 0.8768 0.3965
Zn 0.6035 0.1232 0.6035
Zn 0.6035 0.6035 0.1232
Zn 0.6509 0.0953 0.0953
Zn 0.8768 0.3965 0.3965
Zn 0.9047 0.3491 0.9047
Zn 0.9047 0.9047 0.3491
Cu 0.0000 0.5000 0.5000
Cu 0.5000 0.0000 0.5000
Cu 0.5000 0.5000 0.0000

=====

[17]
Compound: PrBe4Cu8
Source: the Alexandria database
Functional: PBE
Structure: optimized geometry

Calculated values
Energy of formation from the pure elements in eV per atom: -0.090
Space group: I4/mmm, No. 139
Final energy in eV per atom: -4.125
Total magnetic moment in μB per formula unit: 0.000

abc: 6.3227 6.3227 6.3227
angles: 97.67 97.67 137.14
Atoms (fractional coordinates):
Pr 0.0000 0.0000 0.0000
Be 0.0000 0.0000 0.5000
Be 0.0000 0.5000 0.0000
Be 0.5000 0.0000 0.0000
Be 0.5000 0.5000 0.5000
Cu 0.0000 0.3518 0.3518
Cu 0.0000 0.6482 0.6482
Cu 0.2713 0.5000 0.7713
Cu 0.3518 0.0000 0.3518
Cu 0.5000 0.2713 0.7713
Cu 0.5000 0.7287 0.2287
Cu 0.6482 0.0000 0.6482
Cu 0.7287 0.5000 0.2287

=====

[18]
Compound: PrBeCu3
Source: the Alexandria database
Functional: PBE
Structure: optimized geometry

Calculated values
Energy of formation from the pure elements in eV per atom: -0.002
Space group: Pm-3m, No. 221
Final energy in eV per atom: -4.161
Total magnetic moment in μB per formula unit: 0.000

abc: 4.3396 4.3396 4.3396
angles: 90.00 90.00 90.00
Atoms (fractional coordinates):
Pr 0.0000 0.0000 0.0000
Be 0.5000 0.5000 0.5000
Cu 0.0000 0.5000 0.5000
Cu 0.5000 0.0000 0.5000
Cu 0.5000 0.5000 0.0000

=====

[19]
Compound: PrBeCu
Source: the Alexandria database
Functional: PBE
Structure: optimized geometry

Calculated values
Energy of formation from the pure elements in eV per atom: -0.005
Space group: P-6m2, No. 187
Final energy in eV per atom: -4.206
Total magnetic moment in μB per formula unit: 0.000
Excess energy over the best structure of this formula in the dataset in eV/atom: 0.000

abc: 4.1397 4.1397 3.9327
angles: 90.00 90.00 120.00
Atoms (fractional coordinates):
Pr 0.0000 0.0000 0.0000
Be 0.3333 0.6667 0.5000
Cu 0.6667 0.3333 0.5000

=====

[20]
Compound: PrBeCu4
Source: the Alexandria database
Functional: PBE
Structure: optimized geometry

Calculated values
Energy of formation from the pure elements in eV per atom: 0.011
Space group: F-43m, No. 216
Final energy in eV per atom: -4.138
Total magnetic moment in μB per formula unit: 0.000

abc: 5.0563 5.0563 5.0563
angles: 60.00 60.00 60.00
Atoms (fractional coordinates):
Pr 0.0000 0.0000 0.0000
Be 0.7500 0.7500 0.7500
Cu 0.3772 0.3772 0.3772
Cu 0.3772 0.3772 0.8685
Cu 0.3772 0.8685 0.3772
Cu 0.8685 0.3772 0.3772